No. 1
# ZnMoN2 PBE-GGA optimized geometry
data_ZnMoN2
_chemical_formula_sum 'Zn3 Mo3 N6'
_cell_length_a 2.9673
_cell_length_b 2.9673
_cell_length_c 18.7694
_cell_angle_alpha 90.00
_cell_angle_beta 90.00
_cell_angle_gamma 120.00
_space_group_name_H-M_alt 'R -3 m'
_space_group_IT_number 166
_space_group_name_Hall '-R 3 2"'
loop_
_atom_site_label
_atom_site_fract_x
_atom_site_fract_y
_atom_site_fract_z
Zn1 0.0000 0.0000 0.0000
Mo1 0.0000 0.0000 0.5000
N1 0.0000 0.0000 0.1018
# Total magnetic moment = 0.0000 μB per atom
# Formation energy (no corrections) = -0.024 eV/atom
# N(E_F) = 4.341 states/eV/cell
# Final energy = -86.56 eV per cell

No. 2
# CoTeRu2 PBE-GGA optimized geometry
data_CoTeRu2
_chemical_formula_sum 'Co2 Te2 Ru4'
_cell_length_a 5.765
_cell_length_b 6.815
_cell_length_c 3.041
_cell_angle_alpha 90.00
_cell_angle_beta 90.00
_cell_angle_gamma 90.00
_space_group_name_H-M_alt 'C m m m'
_space_group_IT_number 65
_space_group_name_Hall '-C 2 2'
loop_
_atom_site_label
_atom_site_fract_x
_atom_site_fract_y
_atom_site_fract_z
Co1 0.000 0.000 0.000
Te1 0.000 0.500 0.000
Ru1 0.250 0.250 0.500
# Total magnetic moment = 0.3081 μB per atom
# Formation energy (no corrections) = 0.423 eV/atom
# N(E_F) = 11.929 states/eV/cell
# Final energy = -54.22 eV per cell

No. 3
# ThTlGe2 PBE-GGA optimized geometry
data_ThTlGe2
_chemical_formula_sum 'Th1 Tl1 Ge2'
_cell_length_a 4.735
_cell_length_b 4.735
_cell_length_c 4.210
_cell_angle_alpha 90.00
_cell_angle_beta 90.00
_cell_angle_gamma 90.00
_space_group_name_H-M_alt 'P 4/m m m'
_space_group_IT_number 123
_space_group_name_Hall '-P 4 2'
loop_
_atom_site_label
_atom_site_fract_x
_atom_site_fract_y
_atom_site_fract_z
Th1 0.000 0.000 0.000
Tl1 0.500 0.500 0.000
Ge1 0.000 0.500 0.500
# ΔE_f = -327 meV/atom
# Total magnetic moment = 0.0000 μB per atom
# N(E_F) = 2.792 states/eV/cell
# Final energy = -20.33 eV per cell

No. 4
# Ca2SnPbN PBE-GGA optimized geometry
data_Ca2SnPbN
_chemical_formula_sum 'Ca2 Sn1 Pb1 N1'
_cell_length_a 4.872
_cell_length_b 4.872
_cell_length_c 4.876
_cell_angle_alpha 90.00
_cell_angle_beta 90.00
_cell_angle_gamma 90.00
_space_group_name_H-M_alt 'P 4/m m m'
_space_group_IT_number 123
_space_group_name_Hall '-P 4 2'
loop_
_atom_site_label
_atom_site_fract_x
_atom_site_fract_y
_atom_site_fract_z
Ca1 0.000 0.500 0.000
Sn1 0.000 0.000 0.500
Pb1 0.500 0.500 0.500
N1 0.000 0.000 0.000
# Total magnetic moment = 0.0000 μB per atom
# Formation energy (no corrections) = -0.491 eV/atom
# N(E_F) = 2.572 states/eV/cell
# Final energy = -22.50 eV per cell

No. 5
# Cu2RuF PBE-GGA optimized geometry
data_Cu2RuF
_chemical_formula_sum 'Cu8 Ru4 F4'
_cell_length_a 5.941
_cell_length_b 5.941
_cell_length_c 5.941
_cell_angle_alpha 90.00
_cell_angle_beta 90.00
_cell_angle_gamma 90.00
_space_group_name_H-M_alt 'F m -3 m'
_space_group_IT_number 225
_space_group_name_Hall '-F 4 2 3'
loop_
_atom_site_label
_atom_site_fract_x
_atom_site_fract_y
_atom_site_fract_z
Cu1 0.250 0.250 0.250
Ru1 0.000 0.000 0.000
F1 0.000 0.000 0.500
# Total magnetic moment = 0.5748 μB per atom
# Formation energy (no corrections) = 0.370 eV/atom
# N(E_F) = 9.410 states/eV/cell
# Final energy = -71.43 eV per cell

No. 6
# AlCoH3 PBE-GGA optimized geometry
data_AlCoH3
_chemical_formula_sum 'Al1 Co1 H3'
_cell_length_a 3.255
_cell_length_b 3.255
_cell_length_c 3.255
_cell_angle_alpha 90.00
_cell_angle_beta 90.00
_cell_angle_gamma 90.00
_space_group_name_H-M_alt 'P m -3 m'
_space_group_IT_number 221
_space_group_name_Hall '-P 4 2 3'
loop_
_atom_site_label
_atom_site_fract_x
_atom_site_fract_y
_atom_site_fract_z
Al1 0.000 0.000 0.000
Co1 0.500 0.500 0.500
H1 0.000 0.500 0.500
# Total magnetic moment = 0.0000 μB per atom
# N(E_F) = 1.470 states/eV/cell
# Final energy = -20.22 eV per cell

No. 7
# Cd7InHg2 PBE-GGA optimized geometry
data_Cd7InHg2
_chemical_formula_sum 'Cd14 In2 Hg4'
_cell_length_a 8.174
_cell_length_b 16.227
_cell_length_c 4.347
_cell_angle_alpha 90.00
_cell_angle_beta 90.00
_cell_angle_gamma 90.00
_space_group_name_H-M_alt 'C m m m'
_space_group_IT_number 65
_space_group_name_Hall '-C 2 2'
loop_
_atom_site_label
_atom_site_fract_x
_atom_site_fract_y
_atom_site_fract_z
Cd1 0.000 0.000 0.000
Cd2 0.000 0.305 0.500
Cd3 0.193 0.401 0.000
In1 0.000 0.500 0.500
Hg1 0.000 0.189 0.000
# ΔE_f = 132 meV/atom
# Total magnetic moment = 0.0000 μB per atom
# N(E_F) = 5.860 states/eV/cell
# Final energy = -16.86 eV per cell

No. 8
# P2INCl PBE-GGA optimized geometry
data_P2INCl
_chemical_formula_sum 'P2 I1 N1 Cl1'
_cell_length_a 5.249
_cell_length_b 5.249
_cell_length_c 5.151
_cell_angle_alpha 90.00
_cell_angle_beta 90.00
_cell_angle_gamma 90.00
_space_group_name_H-M_alt 'P 4/m m m'
_space_group_IT_number 123
_space_group_name_Hall '-P 4 2'
loop_
_atom_site_label
_atom_site_fract_x
_atom_site_fract_y
_atom_site_fract_z
P1 0.000 0.500 0.000
I1 0.000 0.000 0.000
N1 0.500 0.500 0.500
Cl1 0.000 0.000 0.500
# Total magnetic moment = 0.0000 μB per atom
# Formation energy (no corrections) = 2.487 eV/atom
# N(E_F) = 7.905 states/eV/cell
# Final energy = -10.11 eV per cell

No. 9
# Ce5Hg3Pb PBE-GGA optimized geometry
data_Ce5Hg3Pb
_chemical_formula_sum 'Ce10 Hg6 Pb2'
_cell_length_a 9.5541
_cell_length_b 9.5541
_cell_length_c 6.5303
_cell_angle_alpha 90.00
_cell_angle_beta 90.00
_cell_angle_gamma 120.00
_space_group_name_H-M_alt 'P 63/m c m'
_space_group_IT_number 193
_space_group_name_Hall '-P 6c 2'
loop_
_atom_site_label
_atom_site_fract_x
_atom_site_fract_y
_atom_site_fract_z
Ce1 0.0000 0.2975 0.2500
Ce2 0.3333 0.6667 0.0000
Hg1 0.0000 0.3712 0.7500
Pb1 0.0000 0.0000 0.0000
# ΔE_f = -253 meV/atom
# Total magnetic moment = 0.7506 μB per atom
# N(E_F) = 53.057 states/eV/cell
# Final energy = -73.13 eV per cell

No. 10
# AlPS3 PBE-GGA optimized geometry
data_AlPS3
_chemical_formula_sum 'Al1 P1 S3'
_cell_length_a 4.551
_cell_length_b 4.551
_cell_length_c 4.551
_cell_angle_alpha 90.00
_cell_angle_beta 90.00
_cell_angle_gamma 90.00
_space_group_name_H-M_alt 'P m -3 m'
_space_group_IT_number 221
_space_group_name_Hall '-P 4 2 3'
loop_
_atom_site_label
_atom_site_fract_x
_atom_site_fract_y
_atom_site_fract_z
Al1 0.000 0.000 0.000
P1 0.500 0.500 0.500
S1 0.000 0.000 0.500
# Total magnetic moment = 0.0000 μB per atom
# Formation energy (no corrections) = 0.444 eV/atom
# N(E_F) = 4.451 states/eV/cell
# Final energy = -19.32 eV per cell

No. 11
# Pm2MgAl4Au3 PBE-GGA optimized geometry
data_Pm2MgAl4Au3
_chemical_formula_sum 'Pm2 Mg1 Al4 Au3'
_cell_length_a 4.314
_cell_length_b 4.314
_cell_length_c 11.154
_cell_angle_alpha 90.00
_cell_angle_beta 90.00
_cell_angle_gamma 90.00
_space_group_name_H-M_alt 'P -4 m 2'
_space_group_IT_number 115
loop_
_space_group_symop_operation_xyz
'x,y,z'
'y,-x,-z'
'-x,-y,z'
'-y,x,-z'
'-x,y,z'
'-y,-x,-z'
'x,-y,z'
'y,x,-z'
loop_
_atom_site_label
_atom_site_fract_x
_atom_site_fract_y
_atom_site_fract_z
Pm1 0.000 0.500 0.245
Mg1 0.000 0.000 0.500
Al1 0.000 0.000 0.000
Al2 0.000 0.500 0.646
Al3 0.500 0.500 0.000
Au1 0.000 0.500 0.871
Au2 0.500 0.500 0.500
# ΔE_f = -647 meV/atom
# Total magnetic moment = 0.0000 μB per atom
# N(E_F) = 6.541 states/eV/cell
# Final energy = -42.37 eV per cell

No. 12
# Ir2Au PBE-GGA optimized geometry
data_Ir2Au
_chemical_formula_sum 'Ir8 Au4'
_cell_length_a 3.918
_cell_length_b 12.035
_cell_length_c 3.976
_cell_angle_alpha 90.00
_cell_angle_beta 90.00
_cell_angle_gamma 90.00
_space_group_name_H-M_alt 'C m c m'
_space_group_IT_number 63
_space_group_name_Hall '-C 2c 2'
loop_
_atom_site_label
_atom_site_fract_x
_atom_site_fract_y
_atom_site_fract_z
Ir1 0.000 0.092 0.250
Ir2 0.000 0.251 0.750
Au1 0.000 0.417 0.250
# ΔE_f = 400 meV/atom
# Total magnetic moment = 0.0000 μB per atom
# N(E_F) = 18.096 states/eV/cell
# Final energy = -79.19 eV per cell